<P>
A plane-wave DFT calculation with PBE was carried out for a relaxed structure of Sr2CoTcSe6.

Geometry as POSCAR:
```
Sr2CoTcSe6
1.0
6.122 -3.105 0.000
6.122 3.105 0.000
-4.693 0.000 6.048
Co Se Sr Tc
1 6 2 1
Direct
0.000 0.000 0.000
0.703 0.182 0.194
0.182 0.703 0.194
0.242 0.242 0.332
0.758 0.758 0.668
0.818 0.297 0.806
0.297 0.818 0.806
0.740 0.740 0.257
0.260 0.260 0.743
0.500 0.500 0.500
```

Results
Calculated volume: 230 Å³/cell


<Q>
A plane-wave DFT calculation with PBE was carried out for a relaxed structure of Sr2CoTcSe6.

Geometry as POSCAR:
```
Sr2CoTcSe6
1.0
6.290 0.000 0.000
-0.011 6.294 0.000
-3.041 -3.078 6.000
Co Se Sr Tc
1 6 2 1
Direct
0.999 0.499 0.499
0.276 0.770 0.051
0.642 0.351 0.474
0.136 0.155 0.497
0.865 0.846 0.504
0.358 0.649 0.526
0.725 0.230 0.950
0.755 0.753 0.004
0.245 0.247 0.996
0.500 0.000 0.500
```

Results
Calculated volume: 238 Å³/cell


Order of stability, best first: <Q>, <P>


<P>
A plane-wave DFT calculation with PBE was carried out for a relaxed structure of SrZnCoSe3.

Geometry as POSCAR:
```
SrZnCoSe3
1.0
-3.356 4.182 4.407
1.143 -6.543 -2.012
7.793 -0.653 6.554
Co Se Sr Zn
2 6 2 2
Direct
0.532 0.468 0.250
0.468 0.532 0.750
0.633 0.367 0.056
0.932 0.068 0.250
0.633 0.367 0.444
0.367 0.633 0.556
0.068 0.932 0.750
0.367 0.633 0.944
0.250 0.750 0.250
0.750 0.250 0.750
0.000 0.000 0.000
0.000 0.000 0.500
```

Results
Calculated volume: 273 Å³/cell


<Q>
A plane-wave DFT calculation with PBE was carried out for a relaxed structure of SrZnCoSe3.

Geometry as POSCAR:
```
SrZnCoSe3
1.0
4.023 0.000 0.000
2.011 6.814 0.000
0.000 0.000 9.568
Co Se Sr Zn
2 6 2 2
Direct
0.000 0.000 0.000
0.000 0.000 0.500
0.630 0.741 0.042
0.926 0.149 0.250
0.630 0.741 0.458
0.370 0.259 0.542
0.074 0.851 0.750
0.370 0.259 0.958
0.240 0.520 0.250
0.760 0.480 0.750
0.529 0.943 0.250
0.471 0.057 0.750
```

Results
Calculated volume: 262 Å³/cell


Order of stability, best first: <P>, <Q>


<P>
A plane-wave DFT calculation with PBE was carried out for a relaxed structure of TaZnCoSi.

Geometry as POSCAR:
```
TaZnCoSi
1.0
3.065 -2.866 0.777
-1.003 -4.121 0.475
1.094 -2.822 -3.008
Co Si Ta Zn
1 1 1 1
Direct
0.750 0.750 0.750
0.000 0.000 0.000
0.250 0.250 0.250
0.500 0.500 0.500
```

Results
Calculated volume: 55 Å³/cell


<Q>
A plane-wave DFT calculation with PBE was carried out for a relaxed structure of TaZnCoSi.

Geometry as POSCAR:
```
TaZnCoSi
1.0
0.000 3.013 3.013
3.013 0.000 3.013
3.013 3.013 0.000
Co Si Ta Zn
1 1 1 1
Direct
0.750 0.750 0.750
0.000 0.000 0.000
0.500 0.500 0.500
0.250 0.250 0.250
```

Results
Calculated volume: 55 Å³/cell


Order of stability, best first: <P>, <Q>


<P>
A plane-wave DFT calculation with PBE was carried out for a relaxed structure of ZnCoSiTc.

Geometry as POSCAR:
```
ZnCoSiTc
1.0
-3.951 -1.189 0.602
-1.408 -0.676 3.866
-2.733 2.640 1.715
Co Si Tc Zn
1 1 1 1
Direct
0.750 0.750 0.750
0.000 0.000 0.000
0.500 0.500 0.500
0.250 0.250 0.250
```

Results
Calculated volume: 51 Å³/cell


<Q>
A plane-wave DFT calculation with PBE was carried out for a relaxed structure of ZnCoSiTc.

Geometry as POSCAR:
```
ZnCoSiTc
1.0
1.048 -3.695 -1.511
-1.562 -3.434 1.676
-2.771 -2.238 -2.085
Co Si Tc Zn
1 1 1 1
Direct
0.750 0.750 0.750
0.000 0.000 0.000
0.250 0.250 0.250
0.500 0.500 0.500
```

Results
Calculated volume: 50 Å³/cell


Order of stability, best first: <Q>, <P>